{"formula": "Ni2Pt", "functional": "GGA-PBE", "state": "relaxed", "ef_mev_per_atom": -76, "total_magnetization_mub_per_fu": 1.8, "lattice_angstrom": [[3.713, 0.000, 0.000], [-1.856, 3.933, -1.157], [0.000, -0.102, 5.232]], "species": ["Ni", "Pt", "Ni", "Ni", "Pt", "Ni"], "fractional_positions": [[0.500, 0.000, 0.500], [0.160, 0.321, 0.822], [0.169, 0.338, 0.336], [0.500, 0.000, 0.000], [0.840, 0.679, 0.178], [0.831, 0.662, 0.664]]}

{"formula": "Tb4Pr5Mg", "functional": "GGA-PBE", "state": "relaxed", "ef_mev_per_atom": -5, "total_magnetization_mub_per_fu": 0.0, "lattice_angstrom": [[3.663, 0.000, 0.000], [0.000, 3.663, 0.000], [0.000, 0.000, 24.839]], "species": ["Mg", "Pr", "Tb", "Pr", "Tb", "Pr", "Tb", "Pr", "Pr", "Tb"], "fractional_positions": [[0.000, 0.000, 0.000], [0.500, 0.500, 0.295], [0.000, 0.000, 0.397], [0.500, 0.500, 0.705], [0.000, 0.000, 0.603], [0.500, 0.500, 0.910], [0.000, 0.000, 0.808], [0.500, 0.500, 0.500], [0.500, 0.500, 0.090], [0.000, 0.000, 0.192]]}